Below is NpVCu2O8 after structural relaxation, with properties calculated at the PBE with a Hubbard U level.

The structure belongs to space group I-4m2 (No. 119); the cell edges are 6.310, 6.310 and 7.100 Å and the angles 90.00°, 90.00° and 90.00°. The distinct sites, in fractional coordinates, are Np at (0.000, 0.000, 0.000), V at (0.000, 0.500, 0.250), Cu at (0.000, 0.000, 0.500), Cu at (0.000, 0.500, 0.750), O at (0.000, 0.216, 0.310) and O at (0.000, 0.303, 0.954).

Its total energy is -169.9 eV per cell.